DFT (PBE) results for a geometry-optimized GaCuAu6 structure.

Calculated values
The calculation puts the energy above the most stable polymorph in this dataset at 0 meV per atom.

Cell lengths 8.5243, 8.5243, 8.5243 Å; angles 151.92, 151.92, 40.13 degrees
Closest atoms and distances in Å follow each position.
Atoms (fractional coordinates):
Ga 0.0000 0.0000 0.0000  8 Au 2.76, 4 Cu 2.92
Cu 0.5000 0.5000 0.0000  8 Au 2.76, 4 Ga 2.92
Au 0.1142 0.6142 0.5000  2 Ga 2.76, 2 Cu 2.76, 8 Au 2.92-3.02
Au 0.2517 0.2517 0.0000  12 Au 2.93-3.02
Au 0.3858 0.8858 0.5000  2 Ga 2.76, 2 Cu 2.76, 8 Au 2.92-3.02
Au 0.6142 0.1142 0.5000  2 Ga 2.76, 2 Cu 2.76, 8 Au 2.92-3.02
Au 0.7483 0.7483 0.0000  12 Au 2.93-3.02
Au 0.8858 0.3858 0.5000  2 Ga 2.76, 2 Cu 2.76, 8 Au 2.92-3.02


DFT (PBE) results for a geometry-optimized Er3BiSb structure.

Calculated values
Its uncorrected energy is -4.8881 eV per atom.

Cell lengths 8.1001, 8.1001, 12.2829 Å; angles 110.62, 110.62, 59.47 degrees
Closest atoms and distances in Å follow each position.
Atoms (fractional coordinates):
Er 0.0555 0.2006 0.7739  2 Sb 2.97-3.08, 2 Bi 3.09-3.26
Er 0.1775 0.7320 0.9697  2 Sb 3.02-3.06, 1 Bi 3.07
Er 0.2006 0.0555 0.2739  2 Sb 2.97-3.08, 2 Bi 3.09-3.26
Er 0.2148 0.3754 0.6182  2 Sb 2.97-3.01, 2 Bi 3.22-3.24
Er 0.2680 0.8225 0.5303  2 Sb 3.02-3.06, 1 Bi 3.07
Er 0.3754 0.2148 0.1182  2 Sb 2.97-3.01, 2 Bi 3.22-3.24
Er 0.6246 0.7852 0.8818  2 Sb 2.97-3.01, 2 Bi 3.22-3.24
Er 0.7320 0.1775 0.4697  2 Sb 3.02-3.06, 1 Bi 3.07
Er 0.7852 0.6246 0.3818  2 Sb 2.97-3.01, 2 Bi 3.22-3.24
Er 0.7994 0.9445 0.7261  2 Sb 2.97-3.08, 2 Bi 3.09-3.26
Er 0.8225 0.2680 0.0303  2 Sb 3.02-3.06, 1 Bi 3.07
Er 0.9445 0.7994 0.2261  2 Sb 2.97-3.08, 2 Bi 3.09-3.26
Bi 0.2368 0.4463 0.3693  6 Er 3.07-3.38
Bi 0.4463 0.2368 0.8693  6 Er 3.07-3.38
Bi 0.5537 0.7632 0.1307  6 Er 3.07-3.38
Bi 0.7632 0.5537 0.6307  6 Er 3.07-3.38
Sb 0.0000 0.5000 0.0000  6 Er 2.97-3.06
Sb 0.2462 0.7538 0.7500  6 Er 3.01-3.08
Sb 0.5000 0.0000 0.5000  6 Er 2.97-3.06
Sb 0.7538 0.2462 0.2500  6 Er 3.01-3.08


DFT (PBE) results for a geometry-optimized Bi2OsF structure.

Calculated values
The calculation puts the energy above the most stable polymorph in this dataset at 153 meV per atom.

Cell lengths 7.5275, 7.5275, 7.5275 Å; angles 133.65, 133.65, 67.63 degrees
Closest atoms and distances in Å follow each position.
Atoms (fractional coordinates):
Bi 0.1185 0.6250 0.9935  2 F 2.59, 2 Os 2.64
Bi 0.3750 0.3685 0.4935  2 F 2.59, 2 Os 2.64
Bi 0.6315 0.1250 0.0065  2 F 2.59, 2 Os 2.64
Bi 0.8750 0.8815 0.5065  2 F 2.59, 2 Os 2.64
Os 0.2500 0.7500 0.5000  4 Bi 2.64
Os 0.5000 0.5000 0.0000  4 Bi 2.64
F 0.0000 0.0000 0.0000  4 Bi 2.59
F 0.7500 0.2500 0.5000  4 Bi 2.59


DFT (PBE) results for a geometry-optimized TaTc2Ru structure.

Calculated values
The calculation puts the energy above the most stable polymorph in this dataset at 42 meV per atom.

Cell lengths 2.8786, 3.7789, 5.6542 Å; angles 90.00, 90.00, 90.00 degrees
Closest atoms and distances in Å follow each position.
Atoms (fractional coordinates):
Ta 0.0000 0.0000 0.0000  4 Ru 2.75, 6 Tc 2.83-2.84, 2 Ta 2.88
Tc 0.0000 0.0000 0.5002  6 Tc 2.69-2.88, 4 Ru 2.78, 2 Ta 2.83
Tc 0.5000 0.5000 0.2766  6 Tc 2.69-2.88, 2 Ru 2.71-2.95, 4 Ta 2.84
Ru 0.5000 0.5000 0.7552  6 Tc 2.71-2.95, 4 Ta 2.75, 2 Ru 2.88


DFT (PBE) results for a geometry-optimized SrLiU2N4 structure.

Calculated values
Its uncorrected energy is -8.6299 eV per atom.

Cell lengths 5.9716, 5.9716, 11.3524 Å; angles 90.00, 90.00, 145.27 degrees
Closest atoms and distances in Å follow each position.
Atoms (fractional coordinates):
Sr 0.1010 0.8990 0.7500  6 N 2.68-2.97
Sr 0.8990 0.1010 0.2500  6 N 2.68-2.97
Li 0.1683 0.8317 0.2500  4 N 1.97-2.08
Li 0.8317 0.1683 0.7500  4 N 1.97-2.08
U 0.3712 0.6288 0.5579  6 N 2.23-2.40
U 0.3712 0.6288 0.9421  6 N 2.23-2.40
U 0.6288 0.3712 0.0579  6 N 2.23-2.40
U 0.6288 0.3712 0.4421  6 N 2.23-2.40
N 0.0000 0.0000 0.0000  4 U 2.40
N 0.0000 0.0000 0.5000  4 U 2.40
N 0.2538 0.7462 0.0993  1 Li 1.97
N 0.2538 0.7462 0.4007  1 Li 1.97
N 0.4257 0.5743 0.7500  2 Li 2.08, 2 U 2.27
N 0.5743 0.4257 0.2500  2 Li 2.08, 2 U 2.27
N 0.7462 0.2538 0.5993  1 Li 1.97
N 0.7462 0.2538 0.9007  1 Li 1.97


DFT (PBE) results for a geometry-optimized HfZnGa structure.

Calculated values
Its uncorrected energy is -5.1268 eV per atom.

Cell lengths 4.2954, 4.2954, 3.1881 Å; angles 90.00, 90.00, 120.00 degrees
Closest atoms and distances in Å follow each position.
Atoms (fractional coordinates):
Hf 0.0000 0.0000 0.0000  6 Zn 2.95, 6 Ga 2.95, 2 Hf 3.19
Zn 0.3333 0.6667 0.5000  3 Ga 2.48
Ga 0.6667 0.3333 0.5000  3 Zn 2.48


DFT (PBE) results for a geometry-optimized KBeCl2 structure.

Calculated values
The calculation puts the energy above the most stable polymorph in this dataset at 157 meV per atom.

Cell lengths 7.0649, 7.0649, 7.0649 Å; angles 42.34, 42.34, 42.34 degrees
Closest atoms and distances in Å follow each position.
Atoms (fractional coordinates):
K 0.0000 0.0000 0.0000  6 Cl 3.22
Be 0.5000 0.5000 0.5000  2 Cl 1.91
Cl 0.4008 0.4008 0.4008  1 Be 1.91
Cl 0.5992 0.5992 0.5992  1 Be 1.91


DFT (PBE) results for a geometry-optimized ZrScCu2 structure.

Calculated values
The calculation puts the energy above the most stable polymorph in this dataset at 307 meV per atom.

Cell lengths 4.5588, 4.5588, 4.5588 Å; angles 60.00, 60.00, 60.00 degrees
Closest atoms and distances in Å follow each position.
Atoms (fractional coordinates):
Zr 0.0000 0.0000 0.0000  4 Sc 2.79, 4 Cu 2.79
Sc 0.7500 0.7500 0.7500  4 Zr 2.79, 4 Cu 2.79
Cu 0.2500 0.2500 0.2500  4 Zr 2.79, 4 Cu 2.79
Cu 0.5000 0.5000 0.5000  4 Sc 2.79, 4 Cu 2.79


DFT (PBE) results for a geometry-optimized LiLa3Tl4 structure.

Calculated values
Its uncorrected energy is -3.6480 eV per atom.

Cell lengths 3.6865, 3.6865, 16.8373 Å; angles 90.00, 90.00, 90.00 degrees
Closest atoms and distances in Å follow each position.
Atoms (fractional coordinates):
Li 0.0000 0.0000 0.0000  8 Tl 3.06
La 0.0000 0.0000 0.2301  8 Tl 3.45-3.46, 4 La 3.69
La 0.0000 0.0000 0.5000  8 Tl 3.46, 4 La 3.69
La 0.0000 0.0000 0.7699  8 Tl 3.45-3.46, 4 La 3.69
Tl 0.5000 0.5000 0.0952  4 Li 3.06, 1 Tl 3.20
Tl 0.5000 0.5000 0.3646  8 La 3.45-3.46, 4 Tl 3.69
Tl 0.5000 0.5000 0.6354  8 La 3.45-3.46, 4 Tl 3.69
Tl 0.5000 0.5000 0.9048  4 Li 3.06, 1 Tl 3.20


DFT (PBE) results for a geometry-optimized Zn2AgSb structure.

Calculated values
Its uncorrected energy is -2.2569 eV per atom.

Cell lengths 3.8151, 3.8151, 5.4113 Å; angles 90.00, 90.00, 90.00 degrees
Closest atoms and distances in Å follow each position.
Atoms (fractional coordinates):
Zn 0.0000 0.0000 0.2472  2 Zn 2.68-2.74
Zn 0.0000 0.0000 0.7528  2 Zn 2.68-2.74
Ag 0.5000 0.5000 0.0000  2 Sb 2.71, 8 Zn 3.01
Sb 0.5000 0.5000 0.5000  2 Ag 2.71, 8 Zn 3.02


DFT (PBE) results for a geometry-optimized CrHg3 structure.

Calculated values
Its uncorrected energy is -2.2763 eV per atom.

Cell lengths 3.3783, 4.8123, 5.3691 Å; angles 90.00, 90.00, 90.00 degrees
Closest atoms and distances in Å follow each position.
Atoms (fractional coordinates):
Cr 0.0000 0.0000 0.0000  10 Hg 2.97-3.19
Hg 0.0000 0.5000 0.3227  2 Cr 2.97, 8 Hg 3.06-3.28
Hg 0.5000 0.0000 0.5042  8 Hg 3.03-3.38, 4 Cr 3.15-3.19
Hg 0.5000 0.5000 0.8471  8 Hg 3.03-3.38, 4 Cr 3.05


DFT (PBE) results for a geometry-optimized Ce2Bi2C structure.

Calculated values
Its uncorrected energy is -6.0731 eV per atom.

Cell lengths 7.9868, 7.9868, 7.9868 Å; angles 130.47, 69.59, 134.40 degrees
Closest atoms and distances in Å follow each position.
Atoms (fractional coordinates):
Ce 0.0922 0.1960 0.2882  2 C 2.36
Ce 0.4078 0.6960 0.1038  2 C 2.36
Ce 0.5922 0.3040 0.8962  2 C 2.36
Ce 0.9078 0.8040 0.7118  2 C 2.36
Bi 0.1573 0.6743 0.8316  6 Ce 3.29-3.59, 2 C 3.38
Bi 0.3427 0.1743 0.5170  6 Ce 3.29-3.59, 2 C 3.38
Bi 0.6573 0.8257 0.4830  6 Ce 3.29-3.59, 2 C 3.38
Bi 0.8427 0.3257 0.1684  6 Ce 3.29-3.59, 2 C 3.38
C 0.2500 0.2500 0.0000  4 Ce 2.36
C 0.7500 0.7500 0.0000  4 Ce 2.36


| no. | spin magnetization (μB/f.u.) | density of states at the Fermi level (states/eV/cell) |
| --- | --- | --- |
| 1 | 0.0 | 2.09 |
| 2 | 0.5 | 17.82 |
| 3 | 0.0 | 4.78 |
| 4 | 0.0 | 4.93 |
| 5 | 3.0 | 11.19 |
| 6 | 0.0 | 0.60 |
| 7 | 0.7 | 1.77 |
| 8 | 0.9 | 4.40 |
| 9 | 0.0 | 7.55 |
| 10 | 0.0 | 0.72 |
| 11 | 4.2 | 2.25 |
| 12 | 0.0 | 14.89 |